DFT (GGA-PBE) results for a relaxed structure of Ti5Tl.

For the calculated density, the calculation gives 6806 kg/m³. The final energy comes out at -6.96 eV/atom. The value obtained for the size of the total moment is 0.000 μB/atom. The calculation puts the density of states at the Fermi level at 8.20 states/eV/f.u.

It has space group Cmmm (No. 65), with a = 4.141 Å, b = 12.771 Å, c = 4.094 Å, α = 90.00°, β = 90.00° and γ = 90.00°. Symmetry generates all atoms from Ti at (0.000, 0.000, 0.000), Ti at (0.000, 0.173, 0.500), Ti at (0.000, 0.327, 0.000) and Tl at (0.000, 0.500, 0.500).

DFT (GGA-PBE) results for a relaxed structure of Ti4Tl.

For the calculated density, the calculation gives 5137 kg/m³. For the excess energy over the best structure of this formula in the dataset, the calculation gives 1380 meV/atom. The value obtained for the size of the total moment is 0.829 μB/atom. The calculation puts the density of states at the Fermi level at 7.58 states/eV/f.u.

It has space group Pm-3m (No. 221), with a = 5.039 Å, b = 5.039 Å, c = 5.039 Å, α = 90.00°, β = 90.00° and γ = 90.00°. Symmetry generates all atoms from Ti at (0.000, 0.000, 0.000), Ti at (0.000, 0.500, 0.500) and Tl at (0.500, 0.500, 0.500).

DFT (GGA-PBE) results for a relaxed structure of TiTl4.

For the calculated density, the calculation gives 8702 kg/m³. The final energy comes out at -3.14 eV/atom. The value obtained for the size of the total moment is 0.260 μB/atom. The calculation puts the density of states at the Fermi level at 3.36 states/eV/f.u.

It has space group Pm-3m (No. 221), with a = 5.486 Å, b = 5.486 Å, c = 5.486 Å, α = 90.00°, β = 90.00° and γ = 90.00°. Symmetry generates all atoms from Ti at (0.000, 0.000, 0.000), Tl at (0.000, 0.000, 0.500) and Tl at (0.500, 0.500, 0.500).

DFT (GGA-PBE) results for a relaxed structure of Ti4Tl.

For the calculated density, the calculation gives 7149 kg/m³. For the excess energy over the best structure of this formula in the dataset, the calculation gives 0 meV/atom. The value obtained for the size of the total moment is 0.000 μB/atom. The calculation puts the density of states at the Fermi level at 5.16 states/eV/f.u.

It has space group Immm (No. 71), with a = 3.143 Å, b = 3.891 Å, c = 15.039 Å, α = 90.00°, β = 90.00° and γ = 90.00°. Symmetry generates all atoms from Ti at (0.000, 0.000, 0.107), Ti at (0.000, 0.000, 0.293) and Tl at (0.000, 0.000, 0.500).